Ce5ZnRu4 PBE-GGA optimized geometry; ΔE_f = -0.208 eV per atom; calculated density = 8.44 g/cm³; Fermi-level density of states = 1.54 states/eV per atom
1.0
-2.299 -0.221 7.145
7.272 -1.017 2.309
0.931 7.894 0.543
Ce Zn Ru
10 2 8
Direct
0.237 0.744 0.763 Ce
0.237 0.256 0.763 Ce
0.533 0.500 0.000 Ce
0.237 0.744 0.237 Ce
0.237 0.256 0.237 Ce
0.763 0.756 0.263 Ce
0.763 0.244 0.263 Ce
0.467 0.000 0.500 Ce
0.763 0.244 0.737 Ce
0.763 0.756 0.737 Ce
0.983 0.000 0.000 Zn
0.017 0.500 0.500 Zn
0.040 0.000 0.673 Ru
0.507 0.823 0.000 Ru
0.507 0.177 0.000 Ru
0.040 0.000 0.327 Ru
0.960 0.500 0.173 Ru
0.493 0.677 0.500 Ru
0.493 0.323 0.500 Ru
0.960 0.500 0.827 Ru


CeZn5Ru2 PBE-GGA optimized geometry; ΔE_f = -0.165 eV per atom; calculated density = 8.13 g/cm³; Fermi-level density of states = 0.71 states/eV per atom
1.0
3.865 0.000 0.000
1.932 5.952 -0.516
1.932 1.299 5.831
Ce Zn Ru
1 5 2
Direct
0.000 0.000 0.000 Ce
0.000 0.500 0.500 Zn
0.657 0.523 0.163 Zn
0.343 0.477 0.837 Zn
0.343 0.837 0.477 Zn
0.657 0.163 0.523 Zn
0.716 0.784 0.784 Ru
0.284 0.216 0.216 Ru


Ce5ZnRu3 PBE-GGA optimized geometry; ΔE_f = -0.142 eV per atom; calculated density = 7.77 g/cm³; Fermi-level density of states = 2.16 states/eV per atom
1.0
-4.189 -1.227 -5.647
4.116 -3.050 -4.969
-2.151 -9.463 0.907
Ce Zn Ru
10 2 6
Direct
0.965 0.378 0.355 Ce
0.300 0.700 0.000 Ce
0.760 0.760 0.070 Ce
0.463 0.463 0.366 Ce
0.537 0.537 0.634 Ce
0.240 0.240 0.930 Ce
0.378 0.965 0.355 Ce
0.700 0.300 0.000 Ce
0.035 0.622 0.645 Ce
0.622 0.035 0.645 Ce
0.047 0.047 0.736 Zn
0.953 0.953 0.264 Zn
0.664 0.664 0.843 Ru
0.738 0.738 0.441 Ru
0.000 0.000 0.000 Ru
0.000 0.000 0.500 Ru
0.336 0.336 0.157 Ru
0.262 0.262 0.559 Ru


CeZn2Ru PBE-GGA optimized geometry; ΔE_f = -0.075 eV per atom; calculated density = 7.94 g/cm³; Fermi-level density of states = 1.59 states/eV per atom
1.0
4.353 0.000 0.000
2.177 3.770 0.000
2.177 1.257 4.741
Ru Zn Ce
1 2 1
Direct
0.500 0.500 0.500 Ru
0.790 0.790 0.629 Zn
0.210 0.210 0.371 Zn
0.000 0.000 0.000 Ce


Ce2Zn3Ru PBE-GGA optimized geometry; ΔE_f = -0.308 eV per atom; calculated density = 8.64 g/cm³; Fermi-level density of states = 1.39 states/eV per atom
1.0
1.618 4.962 -0.559
-3.048 -2.207 -3.660
-3.854 -1.080 3.852
Ce Zn Ru
2 3 1
Direct
0.731 0.366 0.097 Ce
0.269 0.634 0.903 Ce
0.500 0.500 0.500 Zn
0.000 0.000 0.500 Zn
0.500 0.000 0.500 Zn
0.000 0.000 0.000 Ru


Ce2ZnRu PBE-GGA optimized geometry; ΔE_f = -0.226 eV per atom; calculated density = 8.31 g/cm³; Fermi-level density of states = 1.77 states/eV per atom
1.0
5.850 -0.001 0.003
0.003 5.458 -0.176
-0.003 -0.365 11.196
Ce Zn Ru
8 4 4
Direct
0.741 0.915 0.905 Ce
0.259 0.085 0.095 Ce
0.242 0.585 0.594 Ce
0.758 0.415 0.406 Ce
0.839 0.454 0.109 Ce
0.161 0.546 0.891 Ce
0.338 0.046 0.391 Ce
0.662 0.954 0.609 Ce
0.236 0.537 0.294 Zn
0.764 0.463 0.706 Zn
0.737 0.964 0.206 Zn
0.263 0.036 0.794 Zn
0.081 0.169 0.598 Ru
0.919 0.831 0.402 Ru
0.580 0.331 0.902 Ru
0.420 0.669 0.098 Ru


Ce2Zn15Ru2 PBE-GGA optimized geometry; ΔE_f = -0.218 eV per atom; calculated density = 7.84 g/cm³; Fermi-level density of states = 0.55 states/eV per atom
1.0
-3.265 5.887 0.858
-1.516 0.695 -6.579
-6.109 -2.897 0.585
Ce Zn Ru
2 15 2
Direct
0.323 0.323 0.323 Ce
0.677 0.677 0.677 Ce
0.500 0.000 0.000 Zn
0.000 0.000 0.500 Zn
0.000 0.500 0.000 Zn
0.000 0.722 0.278 Zn
0.722 0.278 0.000 Zn
0.278 0.000 0.722 Zn
0.278 0.722 0.000 Zn
0.722 0.000 0.278 Zn
0.000 0.278 0.722 Zn
0.159 0.643 0.643 Zn
0.643 0.643 0.159 Zn
0.643 0.159 0.643 Zn
0.841 0.357 0.357 Zn
0.357 0.357 0.841 Zn
0.357 0.841 0.357 Zn
0.128 0.128 0.128 Ru
0.872 0.872 0.872 Ru


Ce8Zn2Ru PBE-GGA optimized geometry; ΔE_f = -0.118 eV per atom; calculated density = 8.53 g/cm³; Fermi-level density of states = 2.35 states/eV per atom
1.0
-2.314 -4.324 -0.982
4.520 -1.354 -4.687
3.630 -0.865 7.992
Ce Zn Ru
8 2 1
Direct
0.605 0.405 0.210 Ce
0.350 0.112 0.700 Ce
0.195 0.160 0.390 Ce
0.995 0.700 0.990 Ce
0.805 0.840 0.610 Ce
0.650 0.888 0.300 Ce
0.395 0.595 0.790 Ce
0.005 0.300 0.010 Ce
0.194 0.661 0.388 Zn
0.806 0.339 0.612 Zn
0.500 0.000 0.000 Ru